# 1
DFT (PBE-GGA) results for AcCeTmTl after structural relaxation.

ΔE_f: 0.084 eV per atom
calculated volume: 124.6 Å³ per cell
calculated density: 9.86 g cm⁻³
magnetization: 1.170 μB per cell

Cell lengths 5.607, 5.607, 5.607 Å; angles 60.00, 60.00, 60.00 degrees
Last column: magnetic moment on the atom in μB.
Fractional coordinates of all 4 atoms:
1 Ac 0.000 0.000 0.000  0.12
2 Tm 0.250 0.250 0.250  0.11
3 Tl 0.500 0.500 0.500  -0.02
4 Ce 0.750 0.750 0.750  0.69

---

# 2
DFT (PBE-GGA) results for SmSc2Pb after structural relaxation.

ΔE_f: -0.261 eV per atom
calculated volume: 103.4 Å³ per cell
calculated density: 7.19 g cm⁻³
magnetization: 0.642 μB per cell

Cell lengths 4.629, 4.725, 4.725 Å; angles 90.00, 90.00, 90.00 degrees
Last column: magnetic moment on the atom in μB.
Fractional coordinates of all 4 atoms:
1 Pb 0.500 0.000 0.000  -0.01
2 Sc 0.000 0.000 0.500  0.17
3 Sc 0.000 0.500 0.000  0.17
4 Sm 0.500 0.500 0.500  0.06

---

The lowest magnetization belongs to which entry?
SmSc2Pb

---

What is the formula in the first record?
AcCeTmTl

---

Number 2 is which compound?
SmSc2Pb